This record from Alexandria via LeMat-Bulk describes a relaxed PrMgSbAu crystal. The functional is PBE-GGA.

As for the calculated density: 7983 kg/m3. Its calculated total energy is -0.1480 Ha/atom. The energy relative to the elements, uncorrected is -0.583 eV per atom. The space-group type is F-43m, No. 216. Its density of states at the Fermi level is 3.937 states/eV/f.u.

abc: 5.2214 5.2214 5.2214
angles: 60.00 60.00 60.00
Fractional positions:
Pr (0.0000, 0.0000, 0.0000)
Mg (0.5000, 0.5000, 0.5000)
Sb (0.2500, 0.2500, 0.2500)
Au (0.7500, 0.7500, 0.7500)